Below is a relaxed Pr2Tc2N7 crystal, with properties calculated at the PBE level.

Values from the calculation:
Mass density: 5.0 g/cm3
ΔE_f (raw): -274 meV/atom

Cell lengths 7.6057, 9.9843, 5.1766 Å; angles 90.00, 102.78, 90.00 degrees
Space group C2/m (No. 12)
One atom of each set of equivalent atoms:
1 Pr 0.0000 0.1985 0.0000 (multiplicity 4)
2 Tc 0.2208 0.5000 0.4017 (multiplicity 4)
3 N 0.0000 0.5000 0.5000 (multiplicity 2)
4 N 0.1141 0.0000 0.2870 (multiplicity 4)
5 N 0.2422 0.3519 0.2150 (multiplicity 8)


Below is a relaxed Nb3PtF crystal, with properties calculated at the PBE level.

Values from the calculation:
Mass density: 10.4 g/cm3
ΔE_f (raw): -200 meV/atom
E above lowest polymorph: 0.0 meV/atom

Cell lengths 4.2899, 4.2899, 4.2899 Å; angles 90.00, 90.00, 90.00 degrees
Space group Pm-3m (No. 221)
One atom of each set of equivalent atoms:
1 Nb 0.0000 0.0000 0.5000 (multiplicity 3)
2 Pt 0.5000 0.5000 0.5000 (multiplicity 1)
3 F 0.0000 0.0000 0.0000 (multiplicity 1)


Below is a relaxed SmEr2In crystal, with properties calculated at the PBE level.

Values from the calculation:
Calculated formation energy: -0.090 eV/atom
Mass density: 8.7 g/cm3
E above lowest polymorph: 171.5 meV/atom

Cell lengths 7.6984, 7.6984, 7.6984 Å; angles 90.00, 90.00, 90.00 degrees
Space group Fm-3m (No. 225)
One atom of each set of equivalent atoms:
1 Sm 0.0000 0.0000 0.0000 (multiplicity 4)
2 Er 0.2500 0.2500 0.2500 (multiplicity 8)
3 In 0.0000 0.0000 0.5000 (multiplicity 4)


Below is a relaxed YZn3In crystal, with properties calculated at the PBE level.

Values from the calculation:
Calculated formation energy: 0.371 eV/atom
Mass density: 5.3 g/cm3
E above lowest polymorph: 0.0 meV/atom

Cell lengths 4.9964, 4.9964, 4.9964 Å; angles 90.00, 90.00, 90.00 degrees
Space group Pm-3m (No. 221)
One atom of each set of equivalent atoms:
1 Y 0.0000 0.0000 0.0000 (multiplicity 1)
2 Zn 0.0000 0.5000 0.5000 (multiplicity 3)
3 In 0.5000 0.5000 0.5000 (multiplicity 1)